Entry 1:
Here is a relaxed CeY12Er7 crystal from Alexandria via LeMat-Bulk. Energies are from PBE.

Unit cell a=10.0319 b=10.0319 c=10.0319 alpha=113.00 beta=113.00 gamma=113.00
Fractional positions:
Ce1 0.0000 0.0000 0.0000
Y1 0.0000 0.2862 0.7138
Y2 0.0000 0.7138 0.2862
Y3 0.0878 0.4270 0.4270
Y4 0.2862 0.0000 0.7138
Y5 0.2862 0.7138 0.0000
Y6 0.4270 0.0878 0.4270
Y7 0.4270 0.4270 0.0878
Y8 0.5730 0.5730 0.9122
Y9 0.5730 0.9122 0.5730
Y10 0.7138 0.0000 0.2862
Y11 0.7138 0.2862 0.0000
Y12 0.9122 0.5730 0.5730
Er1 0.1479 0.1479 0.4720
Er2 0.1479 0.4720 0.1479
Er3 0.4720 0.1479 0.1479
Er4 0.5000 0.5000 0.5000
Er5 0.5280 0.8521 0.8521
Er6 0.8521 0.5280 0.8521
Er7 0.8521 0.8521 0.5280

Output
For the energy of formation from the pure elements, the calculation gives 0.27 eV/atom. Its total DFT energy (no corrections) is -5.50 eV per atom. The calculation puts the energy above the lowest structure with this stoichiometry at 0 meV per atom.


Entry 2:
Here is a relaxed CeY8Er6 crystal from Alexandria via LeMat-Bulk. Energies are from PBE.

Unit cell a=9.3793 b=9.3793 c=6.5743 alpha=90.00 beta=90.00 gamma=120.00
Fractional positions:
Ce1 0.0000 0.0000 0.0000
Y1 0.0284 0.6891 0.6008
Y2 0.3109 0.3393 0.6008
Y3 0.3333 0.6667 0.3127
Y4 0.3393 0.0284 0.3992
Y5 0.6607 0.9716 0.6008
Y6 0.6667 0.3333 0.6873
Y7 0.6891 0.6607 0.3992
Y8 0.9716 0.3109 0.3992
Er1 0.0850 0.4070 0.9063
Er2 0.3220 0.9150 0.9063
Er3 0.4070 0.3220 0.0937
Er4 0.5930 0.6780 0.9063
Er5 0.6780 0.0850 0.0937
Er6 0.9150 0.5930 0.0937

Output
For the energy of formation from the pure elements, the calculation gives 0.26 eV/atom. Its total DFT energy (no corrections) is -5.41 eV per atom.


Entry 3:
Here is a relaxed CeYEr14 crystal from Alexandria via LeMat-Bulk. Energies are from PBE.

Unit cell a=7.0201 b=7.0201 c=9.9331 alpha=90.00 beta=90.00 gamma=90.00
Fractional positions:
Ce1 0.0000 0.0000 0.0000
Y1 0.5000 0.5000 0.0000
Er1 0.0000 0.0000 0.5000
Er2 0.0000 0.5000 0.0000
Er3 0.0000 0.5000 0.5000
Er4 0.2488 0.2488 0.2508
Er5 0.2488 0.2488 0.7492
Er6 0.2488 0.7512 0.2508
Er7 0.2488 0.7512 0.7492
Er8 0.5000 0.0000 0.0000
Er9 0.5000 0.0000 0.5000
Er10 0.5000 0.5000 0.5000
Er11 0.7512 0.2488 0.2508
Er12 0.7512 0.2488 0.7492
Er13 0.7512 0.7512 0.2508
Er14 0.7512 0.7512 0.7492

Output
For the energy of formation from the pure elements, the calculation gives 0.03 eV/atom. Its total DFT energy (no corrections) is -4.74 eV per atom.


Entry 4:
Here is a relaxed CeY12Er5 crystal from Alexandria via LeMat-Bulk. Energies are from PBE.

Unit cell a=6.2171 b=6.2171 c=17.2832 alpha=93.43 beta=93.43 gamma=120.02
Fractional positions:
Ce1 0.0000 0.0000 0.0000
Y1 0.0555 0.7235 0.1662
Y2 0.1110 0.1110 0.3340
Y3 0.2222 0.5555 0.6664
Y4 0.2765 0.9445 0.8338
Y5 0.3876 0.3876 0.1663
Y6 0.4445 0.7778 0.3336
Y7 0.5555 0.2222 0.6664
Y8 0.6124 0.6124 0.8337
Y9 0.7235 0.0555 0.1662
Y10 0.7778 0.4445 0.3336
Y11 0.8890 0.8890 0.6660
Y12 0.9445 0.2765 0.8338
Er1 0.1666 0.8334 0.5000
Er2 0.3333 0.6667 0.0000
Er3 0.5000 0.5000 0.5000
Er4 0.6667 0.3333 0.0000
Er5 0.8334 0.1666 0.5000

Output
For the energy of formation from the pure elements, the calculation gives 0.01 eV/atom. Its total DFT energy (no corrections) is -5.89 eV per atom.


Entry 5:
Here is a relaxed CeY7Er4 crystal from Alexandria via LeMat-Bulk. Energies are from PBE.

Unit cell a=6.6364 b=6.6364 c=12.7120 alpha=113.93 beta=113.93 gamma=51.75
Fractional positions:
Ce1 0.0000 0.0000 0.0000
Y1 0.0568 0.0568 0.3298
Y2 0.2048 0.2048 0.9235
Y3 0.3628 0.3628 0.4942
Y4 0.5000 0.5000 0.0000
Y5 0.6372 0.6372 0.5058
Y6 0.7952 0.7952 0.0765
Y7 0.9432 0.9432 0.6702
Er1 0.2570 0.2570 0.6900
Er2 0.3674 0.3674 0.2258
Er3 0.6326 0.6326 0.7742
Er4 0.7430 0.7430 0.3100

Output
For the energy of formation from the pure elements, the calculation gives 0.30 eV/atom. Its total DFT energy (no corrections) is -5.49 eV per atom.


Entry 6:
Here is a relaxed CeYEr3 crystal from Alexandria via LeMat-Bulk. Energies are from PBE.

Unit cell a=6.2018 b=9.2802 c=11.5711 alpha=90.00 beta=109.79 gamma=90.00
Fractional positions:
Ce1 0.1531 0.2360 0.1529
Ce2 0.1531 0.2640 0.6529
Ce3 0.8469 0.7360 0.3471
Ce4 0.8469 0.7640 0.8471
Y1 0.4346 0.6916 0.4892
Y2 0.4346 0.8084 0.9892
Y3 0.5654 0.1916 0.0108
Y4 0.5654 0.3084 0.5108
Er1 0.0466 0.6114 0.6345
Er2 0.0466 0.8886 0.1345
Er3 0.1667 0.0412 0.4164
Er4 0.1667 0.4588 0.9164
Er5 0.4068 0.5448 0.2132
Er6 0.4068 0.9552 0.7132
Er7 0.5932 0.0448 0.2868
Er8 0.5932 0.4552 0.7868
Er9 0.8333 0.5412 0.0836
Er10 0.8333 0.9588 0.5836
Er11 0.9534 0.1114 0.8655
Er12 0.9534 0.3886 0.3655

Output
For the energy of formation from the pure elements, the calculation gives 0.18 eV/atom. Its total DFT energy (no corrections) is -5.04 eV per atom. The calculation puts the energy above the lowest structure with this stoichiometry at 74 meV per atom.


Entry 7:
Here is a relaxed Ce4YEr crystal from Alexandria via LeMat-Bulk. Energies are from PBE.

Unit cell a=6.3169 b=6.3169 c=6.3169 alpha=60.00 beta=60.00 gamma=60.00
Fractional positions:
Ce1 0.3771 0.3771 0.3771
Ce2 0.3771 0.3771 0.8686
Ce3 0.3771 0.8686 0.3771
Ce4 0.8686 0.3771 0.3771
Y1 0.0000 0.0000 0.0000
Er1 0.7500 0.7500 0.7500

Output
For the energy of formation from the pure elements, the calculation gives 0.21 eV/atom. Its total DFT energy (no corrections) is -5.59 eV per atom.


Entry 8:
Here is a relaxed CeY3Er12 crystal from Alexandria via LeMat-Bulk. Energies are from PBE.

Unit cell a=4.9812 b=4.9812 c=19.9071 alpha=90.00 beta=90.00 gamma=90.00
Fractional positions:
Ce1 0.0000 0.0000 0.0000
Y1 0.0000 0.0000 0.2485
Y2 0.0000 0.0000 0.5000
Y3 0.0000 0.0000 0.7515
Er1 0.0000 0.5000 0.1235
Er2 0.0000 0.5000 0.3746
Er3 0.0000 0.5000 0.6254
Er4 0.0000 0.5000 0.8765
Er5 0.5000 0.0000 0.1235
Er6 0.5000 0.0000 0.3746
Er7 0.5000 0.0000 0.6254
Er8 0.5000 0.0000 0.8765
Er9 0.5000 0.5000 0.0000
Er10 0.5000 0.5000 0.2508
Er11 0.5000 0.5000 0.5000
Er12 0.5000 0.5000 0.7492

Output
For the energy of formation from the pure elements, the calculation gives 0.04 eV/atom. Its total DFT energy (no corrections) is -4.97 eV per atom.